VASP calculation (GGA-PBE) on Ta2ReSb after structural relaxation.

**Total moment**: 0.00 μB per formula unit
**Calculated total energy**: -9.750 eV/atom
**E_form (uncorrected)**: 319 meV per atom

```
data_Ta2ReSb
_chemical_formula_sum 'Ta6 Re3 Sb3'
_symmetry_space_group_name_H-M 'R 3 m'
_symmetry_Int_Tables_number 160
_symmetry_space_group_name_Hall 'R 3 -2"'
_cell_length_a 3.1222
_cell_length_b 3.1222
_cell_length_c 26.8073
_cell_angle_alpha 90.00
_cell_angle_beta 90.00
_cell_angle_gamma 120.00
loop_
_atom_site_label
_atom_site_type_symbol
_atom_site_fract_x
_atom_site_fract_y
_atom_site_fract_z
Ta1 Ta 0.0000 0.0000 0.0000
Ta2 Ta 0.0000 0.0000 0.2476
Re1 Re 0.0000 0.0000 0.5082
Sb1 Sb 0.0000 0.0000 0.7561
```